Entry one
Here is an optimized crystal structure of GaRe3Pd from the Alexandria database. Energies are from GGA-PBE.

* DOS(E_F): 1.4727 states/eV per atom
* calculated volume: 90.3 Å³ per cell
* magnetic moment: 0.00 μB/f.u.
* space-group type: No. 221

Geometry as POSCAR:
```
GaRe3Pd
1.0
4.4867 0.0000 0.0000
0.0000 4.4867 0.0000
0.0000 0.0000 4.4867
Ga Re Pd
1 3 1
direct
0.0000 0.0000 0.0000
0.0000 0.0000 0.5000
0.0000 0.5000 0.0000
0.5000 0.0000 0.0000
0.5000 0.5000 0.5000
```

Entry two
Here is an optimized crystal structure of GaRe3Pd from the Alexandria database. Energies are from GGA-PBE.

* DOS(E_F): 1.8557 states/eV per atom
* calculated volume: 104.9 Å³ per cell
* magnetic moment: 2.47 μB/f.u.
* space-group type: No. 221

Geometry as POSCAR:
```
GaRe3Pd
1.0
4.7168 0.0000 0.0000
0.0000 4.7168 0.0000
0.0000 0.0000 4.7168
Ga Re Pd
1 3 1
direct
0.0000 0.0000 0.0000
0.0000 0.5000 0.5000
0.5000 0.0000 0.5000
0.5000 0.5000 0.0000
0.5000 0.5000 0.5000
```

Stability ranking, top entry: entry one; the second entry is 59.7 kJ/mol of atoms less favorable.

Entry one
Here is an optimized crystal structure of Ga2Pd2Rh from the Alexandria database. Energies are from GGA-PBE.

* DOS(E_F): 0.4537 states/eV per atom
* calculated volume: 76.9 Å³ per cell
* magnetic moment: 0.00 μB/f.u.
* space-group type: No. 71

Geometry as POSCAR:
```
Ga2Pd2Rh
1.0
-1.9508 2.8142 3.5027
1.9508 -2.8142 3.5027
1.9508 2.8142 -3.5027
Ga Pd Rh
2 2 1
direct
0.2264 0.0000 0.2264
0.7736 0.0000 0.7736
0.1951 0.6951 0.5000
0.8049 0.3049 0.5000
0.5000 0.5000 0.0000
```

Entry two
Here is an optimized crystal structure of Ga2Pd2Rh from the Alexandria database. Energies are from GGA-PBE.

* DOS(E_F): 0.8528 states/eV per atom
* calculated volume: 152.3 Å³ per cell
* magnetic moment: 0.41 μB/f.u.
* space-group type: No. 127

Geometry as POSCAR:
```
Ga2Pd2Rh
1.0
7.3484 0.0000 0.0000
0.0000 7.3484 0.0000
0.0000 0.0000 2.8210
Ga Pd Rh
4 4 2
direct
0.1689 0.3311 0.0000
0.3311 0.8311 0.0000
0.6689 0.1689 0.0000
0.8311 0.6689 0.0000
0.1322 0.6322 0.5000
0.3678 0.1322 0.5000
0.6322 0.8678 0.5000
0.8678 0.3678 0.5000
0.0000 0.0000 0.5000
0.5000 0.5000 0.5000
```

Stability ranking, top entry: entry one; the second entry is 7.9 kJ/mol of atoms less favorable.

Entry one
Here is an optimized crystal structure of Ga8PdRh2 from the Alexandria database. Energies are from GGA-PBE.

* DOS(E_F): 0.3894 states/eV per atom
* calculated volume: 179.8 Å³ per cell
* magnetic moment: 0.00 μB/f.u.
* space-group type: No. 1

Geometry as POSCAR:
```
Ga8PdRh2
1.0
4.6789 0.0000 0.0000
-0.1131 5.0862 0.0000
-2.2643 -2.5595 7.5563
Ga Pd Rh
8 1 2
direct
0.0000 0.0000 0.0000
0.0112 0.5176 0.0409
0.3659 0.8709 0.7487
0.3935 0.3956 0.7905
0.4850 0.5006 0.3948
0.5403 0.8321 0.1676
0.7689 0.0615 0.6233
0.9873 0.2492 0.3943
0.0065 0.7545 0.3952
0.5491 0.2762 0.0831
0.8605 0.5890 0.7055
```

Entry two
Here is an optimized crystal structure of Ga8PdRh2 from the Alexandria database. Energies are from GGA-PBE.

* DOS(E_F): 0.2225 states/eV per atom
* calculated volume: 180.3 Å³ per cell
* magnetic moment: 0.00 μB/f.u.
* space-group type: No. 12

Geometry as POSCAR:
```
Ga8PdRh2
1.0
6.2980 -2.8413 0.0000
6.2980 2.8413 0.0000
-0.4372 0.0000 5.0368
Ga Pd Rh
8 1 2
direct
0.0865 0.0865 0.3908
0.1554 0.6648 0.1093
0.2974 0.2974 0.6440
0.3352 0.8446 0.8907
0.6648 0.1554 0.1093
0.7026 0.7026 0.3560
0.8446 0.3352 0.8907
0.9135 0.9135 0.6092
0.5000 0.5000 0.5000
0.2459 0.2459 0.1283
0.7541 0.7541 0.8717
```

Stability ranking, top entry: entry one; the second entry is 2.5 kJ/mol of atoms less favorable.

Entry one
Here is an optimized crystal structure of Ga8Pd2Rh from the Alexandria database. Energies are from GGA-PBE.

* DOS(E_F): 0.2796 states/eV per atom
* calculated volume: 183.6 Å³ per cell
* magnetic moment: 0.00 μB/f.u.
* space-group type: No. 71

Geometry as POSCAR:
```
Ga8Pd2Rh
1.0
-2.1593 4.0905 5.1957
2.1593 -4.0905 5.1957
2.1593 4.0905 -5.1957
Ga Pd Rh
8 2 1
direct
0.1320 0.3515 0.7805
0.1373 0.1373 0.0000
0.3315 0.0000 0.3315
0.4290 0.6485 0.7805
0.5710 0.3515 0.2195
0.6685 0.0000 0.6685
0.8627 0.8627 0.0000
0.8680 0.6485 0.2195
0.2830 0.7830 0.5000
0.7170 0.2170 0.5000
0.0000 0.5000 0.5000
```

Entry two
Here is an optimized crystal structure of Ga8Pd2Rh from the Alexandria database. Energies are from GGA-PBE.

* DOS(E_F): 0.3723 states/eV per atom
* calculated volume: 184.5 Å³ per cell
* magnetic moment: 0.00 μB/f.u.
* space-group type: No. 12

Geometry as POSCAR:
```
Ga8Pd2Rh
1.0
8.6335 -2.0479 0.0000
8.6335 2.0479 0.0000
-1.3328 0.0000 5.2180
Ga Pd Rh
8 2 1
direct
0.0247 0.0247 0.2928
0.2161 0.2161 0.1355
0.3597 0.3597 0.6936
0.3915 0.3915 0.2306
0.6085 0.6085 0.7694
0.6403 0.6403 0.3064
0.7839 0.7839 0.8645
0.9753 0.9753 0.7072
0.1913 0.1913 0.6326
0.8087 0.8087 0.3674
0.5000 0.5000 0.0000
```

Stability ranking, top entry: entry two; the second entry is 6.3 kJ/mol of atoms less favorable.